(1)
The following is a DFT calculation (GGA+U) of a geometry-optimized TiCrNO2 structure.

Geometry as CIF:
```
data_TiCrNO2
_cell_length_a 3.797
_cell_length_b 3.797
_cell_length_c 4.076
_cell_angle_alpha 90.00
_cell_angle_beta 90.00
_cell_angle_gamma 90.00
_space_group_name_H-M_alt 'P 1'
_space_group_IT_number 1
loop_
_space_group_symop_operation_xyz
'x,y,z'
loop_
_atom_site_label
_atom_site_type_symbol
_atom_site_fract_x
_atom_site_fract_y
_atom_site_fract_z
_atom_site_occupancy
Cr1 Cr 0.500 0.500 0.500 1
N1 N 0.000 0.000 0.500 1
Ti1 Ti 0.000 0.000 0.000 1
O1 O 0.000 0.500 0.000 1
O2 O 0.500 0.000 0.000 1
```

Output
Total energy, Ry per atom: -0.5799
Calculated density, g/cm3: 4.12
Calculated volume, A^3/atom: 11.7

***

(2)
The following is a DFT calculation (GGA+U) of a geometry-optimized TiCrNO2 structure.

Geometry as CIF:
```
data_TiCrNO2
_cell_length_a 3.735
_cell_length_b 3.735
_cell_length_c 3.798
_cell_angle_alpha 90.00
_cell_angle_beta 90.00
_cell_angle_gamma 90.00
_space_group_name_H-M_alt 'P 1'
_space_group_IT_number 1
loop_
_space_group_symop_operation_xyz
'x,y,z'
loop_
_atom_site_label
_atom_site_type_symbol
_atom_site_fract_x
_atom_site_fract_y
_atom_site_fract_z
_atom_site_occupancy
Ti1 Ti 0.500 0.500 0.500 1
O1 O 0.000 0.500 0.000 1
O2 O 0.500 0.000 0.000 1
Cr1 Cr 0.000 0.000 0.000 1
N1 N 0.000 0.000 0.500 1
```

Output
Total energy, Ry per atom: -0.5542
Calculated density, g/cm3: 4.57
Calculated volume, A^3/atom: 10.6

***

(3)
The following is a DFT calculation (GGA+U) of a geometry-optimized TiCrN2O structure.

Geometry as CIF:
```
data_TiCrN2O
_cell_length_a 3.978
_cell_length_b 3.978
_cell_length_c 3.788
_cell_angle_alpha 90.00
_cell_angle_beta 90.00
_cell_angle_gamma 90.00
_space_group_name_H-M_alt 'P 1'
_space_group_IT_number 1
loop_
_space_group_symop_operation_xyz
'x,y,z'
loop_
_atom_site_label
_atom_site_type_symbol
_atom_site_fract_x
_atom_site_fract_y
_atom_site_fract_z
_atom_site_occupancy
O1 O 0.000 0.000 0.500 1
Cr1 Cr 0.500 0.500 0.500 1
N1 N 0.500 0.000 0.000 1
N2 N 0.000 0.500 0.000 1
Ti1 Ti 0.000 0.000 0.000 1
```

Output
Total energy, Ry per atom: -0.5663
Calculated density, g/cm3: 3.99
Calculated volume, A^3/atom: 12.0

***

> Among the records above, which one has the highest calculated volume?

TiCrN2O

***

> Which formula does entry 2 have?

TiCrNO2

***

> Which of these has the highest total energy?

number 2